1.
# HfTc2SbAu

Crystalline HfTc2SbAu at its relaxed geometry (PBE-GGA, Alexandria).

Structure (CIF):
```
data_HfTc2SbAu
_chemical_formula_sum 'Hf1 Tc2 Sb1 Au1'
_symmetry_space_group_name_H-M 'P 4/m m m'
_symmetry_Int_Tables_number 123
_symmetry_space_group_name_Hall '-P 4 2'
_cell_length_a 4.860
_cell_length_b 4.860
_cell_length_c 4.899
_cell_angle_alpha 90.00
_cell_angle_beta 90.00
_cell_angle_gamma 90.00
loop_
_atom_site_label
_atom_site_type_symbol
_atom_site_fract_x
_atom_site_fract_y
_atom_site_fract_z
Hf1 Hf 0.000 0.000 0.000
Tc1 Tc 0.000 0.500 0.500
Sb1 Sb 0.500 0.500 0.500
Au1 Au 0.500 0.500 0.000
```

Calculated values
**Raw total energy**: -31.48 eV for the cell shown
**Formation energy from raw total energies**: 1.321 eV/atom

***

2.
# MnTe2Mo

Crystalline MnTe2Mo at its relaxed geometry (PBE-GGA, Alexandria).

Structure (CIF):
```
data_MnTe2Mo
_chemical_formula_sum 'Mn3 Te6 Mo3'
_symmetry_space_group_name_H-M 'R -3 m'
_symmetry_Int_Tables_number 166
_symmetry_space_group_name_Hall '-R 3 2"'
_cell_length_a 3.3097
_cell_length_b 3.3097
_cell_length_c 26.5303
_cell_angle_alpha 90.00
_cell_angle_beta 90.00
_cell_angle_gamma 120.00
loop_
_atom_site_label
_atom_site_type_symbol
_atom_site_fract_x
_atom_site_fract_y
_atom_site_fract_z
Mn1 Mn 0.0000 0.0000 0.0000
Te1 Te 0.0000 0.0000 0.4001
Mo1 Mo 0.0000 0.0000 0.5000
```

Calculated values
**Raw total energy**: -71.36 eV for the cell shown
**Energy above the most stable polymorph in this dataset**: 2.69 eV per formula unit
**Formation energy from raw total energies**: 0.624 eV/atom

***

3.
# OsWC2

Crystalline OsWC2 at its relaxed geometry (PBE-GGA, Alexandria).

Structure (CIF):
```
data_OsWC2
_chemical_formula_sum 'Os4 W4 C8'
_symmetry_space_group_name_H-M 'I -4 2 d'
_symmetry_Int_Tables_number 122
_symmetry_space_group_name_Hall 'I -4 2bw'
_cell_length_a 4.592
_cell_length_b 4.592
_cell_length_c 9.635
_cell_angle_alpha 90.00
_cell_angle_beta 90.00
_cell_angle_gamma 90.00
loop_
_atom_site_label
_atom_site_type_symbol
_atom_site_fract_x
_atom_site_fract_y
_atom_site_fract_z
Os1 Os 0.000 0.000 0.000
W1 W 0.000 0.000 0.500
C1 C 0.240 0.250 0.125
```

Calculated values
**Raw total energy**: -159.30 eV for the cell shown
**Energy above the most stable polymorph in this dataset**: 0.00 eV per formula unit
**Energy of formation**: 0.701 eV/atom

***

4.
# Mg3Be5

Crystalline Mg3Be5 at its relaxed geometry (PBE-GGA, Alexandria).

Structure (CIF):
```
data_Mg3Be5
_chemical_formula_sum 'Mg6 Be10'
_symmetry_space_group_name_H-M 'C m m m'
_symmetry_Int_Tables_number 65
_symmetry_space_group_name_Hall '-C 2 2'
_cell_length_a 5.863
_cell_length_b 8.629
_cell_length_c 4.152
_cell_angle_alpha 90.00
_cell_angle_beta 90.00
_cell_angle_gamma 90.00
loop_
_atom_site_label
_atom_site_type_symbol
_atom_site_fract_x
_atom_site_fract_y
_atom_site_fract_z
Mg1 Mg 0.000 0.000 0.000
Mg2 Mg 0.000 0.236 0.500
Be1 Be 0.000 0.500 0.000
Be2 Be 0.192 0.500 0.500
Be3 Be 0.250 0.250 0.000
```

Calculated values
**Raw total energy**: -39.91 eV for the cell shown
**Energy above the most stable polymorph in this dataset**: 1.06 eV per formula unit
**Energy of formation**: 0.433 eV/atom